The following is a PBE+U calculation of crystalline Li2MnC2O6 at its relaxed geometry, from the Alexandria database.

Calculated values
Magnetic moment: 10.0 μB/cell
Crystal system: monoclinic
V: 11.3 Å³/atom
Raw total energy: -7.112 eV per atom

CIF file:
```
data_Li2MnC2O6
_chemical_formula_sum 'Li4 Mn2 C4 O12'
_symmetry_space_group_name_H-M 'P 1 21/c 1'
_symmetry_Int_Tables_number 14
_cell_length_a 5.086
_cell_length_b 7.923
_cell_length_c 6.589
_cell_angle_alpha 90.00
_cell_angle_beta 110.20
_cell_angle_gamma 90.00
loop_
_symmetry_equiv_pos_as_xyz
'x,y,z'
'-x,-y,-z'
'-x,y+1/2,-z+1/2'
'x,-y+1/2,z+1/2'
loop_
_atom_site_label
_atom_site_type_symbol
_atom_site_fract_x
_atom_site_fract_y
_atom_site_fract_z
_atom_site_occupancy
Li1 Li 0.175 0.043 0.369 1
Mn1 Mn 0.500 0.000 0.000 1
C1 C 0.328 0.735 0.141 1
O1 O 0.208 0.622 0.643 1
O2 O 0.221 0.592 0.172 1
O3 O 0.438 0.234 0.400 1
```